1.
A plane-wave DFT calculation with GGA-PBE was carried out for a geometry-optimized Li2CaCo structure.

The space group is Pm (No. 6) and the conventional cell measures 3.249, 3.432 and 7.137 Å, with angles of 90.00, 90.11 and 90.00 degrees. The inequivalent atoms are Li at (0.000, 0.000, 0.000), Li at (0.499, 0.500, 0.215), Ca at (0.499, 0.500, 0.626) and Co at (0.999, 0.000, 0.379).

As for the formation enthalpy at 0 K: 283 meV/atom. The total magnetization comes out at 0.8 μB/f.u.

---

2.
A plane-wave DFT calculation with GGA-PBE was carried out for a geometry-optimized LiCaCo2 structure.

The space group is Cm (No. 8) and the conventional cell measures 6.858, 3.957 and 5.617 Å, with angles of 90.00, 113.87 and 90.00 degrees. The inequivalent atoms are Li at (0.000, 0.000, 0.000), Ca at (0.199, 0.000, 0.598), Co at (0.235, 0.500, 0.205) and Co at (0.404, 0.000, 0.212).

As for the formation enthalpy at 0 K: 131 meV/atom. The total magnetization comes out at 1.7 μB/f.u.

---

3.
A plane-wave DFT calculation with GGA-PBE was carried out for a geometry-optimized Li2CaCo structure.

The space group is I4/mmm (No. 139) and the conventional cell measures 4.090, 4.090 and 9.132 Å, with angles of 90.00, 90.00 and 90.00 degrees. The inequivalent atoms are Li at (0.000, 0.500, 0.250), Ca at (0.000, 0.000, 0.000) and Co at (0.000, 0.000, 0.500).

As for the formation enthalpy at 0 K: 332 meV/atom. The total magnetization comes out at 1.0 μB/f.u.

---

4.
A plane-wave DFT calculation with GGA-PBE was carried out for a geometry-optimized Li2CaCo structure.

The space group is Imm2 (No. 44) and the conventional cell measures 4.174, 4.593 and 8.003 Å, with angles of 90.00, 90.00 and 90.00 degrees. The inequivalent atoms are Li at (0.000, 0.000, 0.000), Li at (0.000, 0.500, 0.242), Ca at (0.000, 0.000, 0.475) and Co at (0.000, 0.500, 0.718).

As for the formation enthalpy at 0 K: 345 meV/atom. The total magnetization comes out at 0.8 μB/f.u.

---

5.
A plane-wave DFT calculation with GGA-PBE was carried out for a geometry-optimized LiCaCo structure.

The space group is F-43m (No. 216) and the conventional cell measures 6.625, 6.625 and 6.625 Å, with angles of 90.00, 90.00 and 90.00 degrees. The inequivalent atoms are Li at (0.000, 0.000, 0.000), Ca at (0.250, 0.250, 0.250) and Co at (0.000, 0.000, 0.500).

As for the formation enthalpy at 0 K: 933 meV/atom. The total magnetization comes out at 1.2 μB/f.u.

---

6.
A plane-wave DFT calculation with GGA-PBE was carried out for a geometry-optimized Li2CaCo structure.

The space group is I-42d (No. 122) and the conventional cell measures 4.002, 4.002 and 20.508 Å, with angles of 90.00, 90.00 and 90.00 degrees. The inequivalent atoms are Li at (0.197, 0.750, 0.125), Ca at (0.000, 0.000, 0.500) and Co at (0.000, 0.000, 0.000).

As for the formation enthalpy at 0 K: 422 meV/atom. The total magnetization comes out at 1.1 μB/f.u.